# TaCrAu3 PBE relaxed
# - Relative energy among the computed polymorphs: 0.000 eV per atom
# - Calculated formation energy: 108.42 kJ per mole of atoms
data_TaCrAu3
_cell_length_a 5.103
_cell_length_b 5.103
_cell_length_c 5.103
_cell_angle_alpha 90.00
_cell_angle_beta 90.00
_cell_angle_gamma 90.00
_symmetry_space_group_name_H-M 'P m -3 m'
_symmetry_Int_Tables_number 221
_symmetry_space_group_name_Hall '-P 4 2 3'
loop_
_atom_site_label
_atom_site_type_symbol
_atom_site_fract_x
_atom_site_fract_y
_atom_site_fract_z
Ta1 Ta 0.000 0.000 0.000
Cr1 Cr 0.500 0.500 0.500
Au1 Au 0.000 0.000 0.500